A relaxed structure of Li2RhIO6, computed with PBE.

abc: 5.4123 5.4123 5.4123
angles: 56.85 56.85 56.85
With the nearest neighbours (Å) after each atom.
Element x y z (fractional)
Li  0.0000  0.0000  0.0000  6 O 2.00-2.21
Li  0.4943  0.4943  0.4943  3 O 1.98
Rh  0.2061  0.2061  0.2061  6 O 2.03-2.07
I  0.7055  0.7055  0.7055  6 O 1.95-1.97
O  0.0869  0.4357  0.8097  1 I 1.95, 1 Li 1.98, 1 Rh 2.07
O  0.3255  0.9243  0.5979  1 I 1.97, 1 Li 2.00, 1 Rh 2.03
O  0.4357  0.8097  0.0869  1 I 1.95, 1 Li 1.98, 1 Rh 2.07
O  0.5979  0.3255  0.9243  1 I 1.97, 1 Li 2.00, 1 Rh 2.03
O  0.8097  0.0869  0.4357  1 I 1.95, 1 Li 1.98, 1 Rh 2.07
O  0.9243  0.5979  0.3255  1 I 1.97, 1 Li 2.00, 1 Rh 2.03

Results
- Density: 5.43 Mg/m³
- Total DFT energy (no corrections): -5.1870 eV per atom
- Formation energy without anion corrections: -0.94 eV per atom
- Symmetry: R3 (146)
- Total magnetic moment: 0.0 Bohr magnetons per cell